Density functional theory data (GGA+U) for crystalline MnCdCu2F8 at its relaxed geometry.

Geometry as CIF:
```
data_MnCdCu2F8
_chemical_formula_sum 'Mn2 Cd2 Cu4 F16'
_space_group_name_H-M_alt 'I -4 m 2'
_space_group_IT_number 119
_space_group_name_Hall 'I -4 -2'
_cell_length_a 6.879
_cell_length_b 6.879
_cell_length_c 7.081
_cell_angle_alpha 90.00
_cell_angle_beta 90.00
_cell_angle_gamma 90.00
loop_
_atom_site_label
_atom_site_type_symbol
_atom_site_fract_x
_atom_site_fract_y
_atom_site_fract_z
Mn1 Mn 0.000 0.000 0.000
Cd1 Cd 0.000 0.500 0.250
Cu1 Cu 0.000 0.000 0.500
Cu2 Cu 0.000 0.500 0.750
F1 F 0.000 0.181 0.294
F2 F 0.000 0.301 0.945
```

- E: -4.497 eV/atom
- D(E_F): 23.0 states/eV per cell
- Calculated volume: 13.964 Å³/atom
- Total moment: 9.708 Bohr magnetons per cell